Computed, not measured: a geometry-optimized SiMoSCl2 structure at the PBE-GGA level of DFT.

The structure in CIF format:
```
data_SiMoSCl2
_space_group_name_H-M_alt 'P 4/m m m'
_space_group_IT_number 123
_space_group_name_Hall '-P 4 2'
_cell_length_a 4.7149
_cell_length_b 4.7149
_cell_length_c 4.8369
_cell_angle_alpha 90.00
_cell_angle_beta 90.00
_cell_angle_gamma 90.00
loop_
_atom_site_label
_atom_site_type_symbol
_atom_site_fract_x
_atom_site_fract_y
_atom_site_fract_z
Si1 Si 0.0000 0.0000 0.0000
Mo1 Mo 0.5000 0.5000 0.5000
S1 S 0.0000 0.0000 0.5000
Cl1 Cl 0.0000 0.5000 0.0000
```

Formation energy from raw total energies, eV per formula unit: 2.4
N(E_F), states/eV/atom: 0.298

Computed, not measured: a geometry-optimized Mn2CoIr structure at the PBE-GGA level of DFT.

The structure in CIF format:
```
data_Mn2CoIr
_space_group_name_H-M_alt 'P 4/m m m'
_space_group_IT_number 123
_space_group_name_Hall '-P 4 2'
_cell_length_a 2.6015
_cell_length_b 2.6015
_cell_length_c 7.0663
_cell_angle_alpha 90.00
_cell_angle_beta 90.00
_cell_angle_gamma 90.00
loop_
_atom_site_label
_atom_site_type_symbol
_atom_site_fract_x
_atom_site_fract_y
_atom_site_fract_z
Mn1 Mn 0.0000 0.0000 0.2374
Co1 Co 0.5000 0.5000 0.0000
Ir1 Ir 0.5000 0.5000 0.5000
```

Formation enthalpy at 0 K, kJ/mol of formula units: 5
N(E_F), states/eV/atom: 1.278

Computed, not measured: a geometry-optimized CeUTl2O6 structure at the PBE-GGA level of DFT.

The structure in CIF format:
```
data_CeUTl2O6
_space_group_name_H-M_alt 'F m -3 m'
_space_group_IT_number 225
_space_group_name_Hall '-F 4 2 3'
_cell_length_a 8.7647
_cell_length_b 8.7647
_cell_length_c 8.7647
_cell_angle_alpha 90.00
_cell_angle_beta 90.00
_cell_angle_gamma 90.00
loop_
_atom_site_label
_atom_site_type_symbol
_atom_site_fract_x
_atom_site_fract_y
_atom_site_fract_z
Ce1 Ce 0.0000 0.0000 0.0000
U1 U 0.0000 0.0000 0.5000
Tl1 Tl 0.2500 0.2500 0.2500
O1 O 0.0000 0.0000 0.2598
```

Formation energy from raw total energies, eV per formula unit: -24.9